# 1
Pa3CuSi4: relaxed, PBE.

Summary:
The total energy comes out at -7.05 eV/atom. The formation energy without anion corrections is -0.26 eV per atom.

abc: 4.264 5.855 13.625
angles: 90.00 90.00 90.00
Space group Immm (No. 71)
Asymmetric unit:
Pa  0.000  0.000  0.000 (multiplicity 2)
Pa  0.000  0.500  0.184 (multiplicity 4)
Cu  0.000  0.000  0.500 (multiplicity 2)
Si  0.000  0.292  0.378 (multiplicity 8)

---

# 2
Pa3Cu7Si4: relaxed, PBE.

Summary:
The total energy comes out at -5.96 eV/atom. The formation energy without anion corrections is -0.33 eV per atom.

abc: 15.116 4.175 8.492
angles: 90.00 123.65 90.00
Space group C2/m (No. 12)
Asymmetric unit:
Pa  0.000  0.000  0.000 (multiplicity 2)
Pa  0.204  0.500  0.708 (multiplicity 4)
Cu  0.000  0.000  0.500 (multiplicity 2)
Cu  0.002  0.500  0.688 (multiplicity 4)
Cu  0.144  0.000  0.868 (multiplicity 4)
Cu  0.163  0.500  0.312 (multiplicity 4)
Si  0.133  0.000  0.420 (multiplicity 4)
Si  0.151  0.500  0.020 (multiplicity 4)

---

# 3
PaCu3Si2: relaxed, PBE.

Summary:
The total energy comes out at -5.78 eV/atom. The formation energy without anion corrections is -0.34 eV per atom.

abc: 14.698 3.924 7.108
angles: 90.00 115.65 90.00
Space group C2/m (No. 12)
Asymmetric unit:
Pa  0.149  0.000  0.068 (multiplicity 4)
Cu  0.039  0.000  0.375 (multiplicity 4)
Cu  0.102  0.500  0.696 (multiplicity 4)
Cu  0.186  0.500  0.452 (multiplicity 4)
Si  0.020  0.500  0.176 (multiplicity 4)
Si  0.194  0.000  0.691 (multiplicity 4)

---

Among the records above, which one has the highest formation energy without anion corrections?
Pa3CuSi4